Record 1
A plane-wave DFT calculation with PBE-GGA was carried out for a relaxed NpIF3 crystal.

Calculated values
E above lowest polymorph, eV per atom: 0.0713
SG: P4mm, No. 99

Cell lengths 4.401, 4.401, 4.705 Å; angles 90.00, 90.00, 90.00 degrees
Fractional coordinates of all 5 atoms:
Np  0.000  0.000  0.000
I  0.500  0.500  0.655
F  0.000  0.000  0.485
F  0.000  0.500  0.131
F  0.500  0.000  0.131

Record 2
A plane-wave DFT calculation with PBE-GGA was carried out for a relaxed NpI4F crystal.

Calculated values
SG: I4/m, No. 87

Cell lengths 8.076, 8.076, 8.076 Å; angles 94.45, 94.45, 147.66 degrees
Fractional coordinates of all 6 atoms:
Np  0.000  0.000  0.000
I  0.068  0.746  0.814
I  0.254  0.068  0.323
I  0.746  0.932  0.677
I  0.932  0.254  0.186
F  0.500  0.500  0.000

Record 3
A plane-wave DFT calculation with PBE-GGA was carried out for a relaxed Np2I5F crystal.

Calculated values
SG: Cmcm, No. 63

Cell lengths 8.154, 8.154, 21.639 Å; angles 90.00, 90.00, 153.18 degrees
Fractional coordinates of all 16 atoms:
Np  0.245  0.755  0.670
Np  0.245  0.755  0.830
Np  0.755  0.245  0.170
Np  0.755  0.245  0.330
I  0.111  0.889  0.123
I  0.111  0.889  0.377
I  0.342  0.658  0.075
I  0.342  0.658  0.425
I  0.396  0.604  0.250
I  0.604  0.396  0.750
I  0.658  0.342  0.575
I  0.658  0.342  0.925
I  0.889  0.111  0.623
I  0.889  0.111  0.877
F  0.212  0.788  0.250
F  0.788  0.212  0.750

Record 4
A plane-wave DFT calculation with PBE-GGA was carried out for a relaxed NpIF2 crystal.

Calculated values
E above lowest polymorph, eV per atom: 0.0432
SG: R-3m, No. 166

Cell lengths 6.102, 6.102, 6.102 Å; angles 39.66, 39.66, 39.66 degrees
Fractional coordinates of all 4 atoms:
Np  0.000  0.000  0.000
I  0.500  0.500  0.500
F  0.305  0.305  0.305
F  0.695  0.695  0.695

What energy relative to the elements, uncorrected values result from the calculations? In sequence: -2.656; -1.167; -1.103; -2.509 eV per atom.